Entry 1:
A relaxed LiIr2Au crystal. Source: Alexandria via LeMat-Bulk, functional GGA-PBE.

Summary:
formation energy	-0.0143	eV per atom
crystal system	monoclinic
distance to the lowest polymorph of the same formula	36	meV/atom
density of states at the Fermi level	3.1	states/eV/cell

Lattice parameters (Å, degrees): 4.716 4.716 4.875 97.93 97.93 34.23
Atoms (fractional coordinates):
Li1 0.000 0.000 0.000
Ir1 0.241 0.241 0.677
Ir2 0.500 0.500 0.526
Au1 0.751 0.751 0.179

---

Entry 2:
A relaxed LuPuGa crystal. Source: Alexandria via LeMat-Bulk, functional GGA-PBE.

Summary:
formation energy	-0.2174	eV per atom
crystal system	tetragonal
distance to the lowest polymorph of the same formula	0	meV/atom
density of states at the Fermi level	7.1	states/eV/cell

Lattice parameters (Å, degrees): 6.488 6.488 6.488 148.74 148.74 44.79
Atoms (fractional coordinates):
Lu1 0.000 0.000 0.000
Pu1 0.703 0.703 0.000
Ga1 0.359 0.359 0.000

---

Entry 3:
A relaxed Ba3TbTe2O9 crystal. Source: Alexandria via LeMat-Bulk, functional GGA-PBE.

Summary:
crystal system	trigonal
density of states at the Fermi level	1.9	states/eV/cell
energy	-94.8	eV/cell

Lattice parameters (Å, degrees): 6.127 6.127 7.510 90.00 90.00 120.00
Atoms (fractional coordinates):
Ba1 0.000 0.000 0.000
Ba2 0.333 0.667 0.679
Ba3 0.667 0.333 0.321
Tb1 0.000 0.000 0.500
Te1 0.333 0.667 0.173
Te2 0.667 0.333 0.827
O1 0.000 0.500 0.000
O2 0.175 0.349 0.329
O3 0.175 0.825 0.329
O4 0.349 0.175 0.671
O5 0.500 0.000 0.000
O6 0.500 0.500 0.000
O7 0.651 0.825 0.329
O8 0.825 0.175 0.671
O9 0.825 0.651 0.671

---

Entry 4:
A relaxed Mg3GaPb2 crystal. Source: Alexandria via LeMat-Bulk, functional GGA-PBE.

Summary:
formation energy	-0.0747	eV per atom
crystal system	tetragonal
distance to the lowest polymorph of the same formula	0	meV/atom
density of states at the Fermi level	1.6	states/eV/cell

Lattice parameters (Å, degrees): 3.488 3.488 11.844 90.00 90.00 90.00
Atoms (fractional coordinates):
Mg1 0.000 0.000 0.000
Mg2 0.000 0.000 0.364
Mg3 0.000 0.000 0.636
Ga1 0.500 0.500 0.500
Pb1 0.500 0.500 0.180
Pb2 0.500 0.500 0.820

---

Entry 5:
A relaxed PtAu2Cl6 crystal. Source: Alexandria via LeMat-Bulk, functional GGA-PBE.

Summary:
crystal system	monoclinic
distance to the lowest polymorph of the same formula	15	meV/atom
density of states at the Fermi level	11.7	states/eV/cell

Lattice parameters (Å, degrees): 9.126 9.126 6.339 94.59 94.59 82.05
Atoms (fractional coordinates):
Pt1 0.075 0.925 0.750
Pt2 0.925 0.075 0.250
Au1 0.301 0.500 0.816
Au2 0.500 0.301 0.316
Au3 0.500 0.699 0.684
Au4 0.699 0.500 0.184
Cl1 0.030 0.161 0.596
Cl2 0.104 0.686 0.878
Cl3 0.161 0.030 0.096
Cl4 0.278 0.454 0.282
Cl5 0.314 0.896 0.622
Cl6 0.454 0.278 0.782
Cl7 0.546 0.722 0.218
Cl8 0.686 0.104 0.378
Cl9 0.722 0.546 0.718
Cl10 0.839 0.970 0.904
Cl11 0.896 0.314 0.122
Cl12 0.970 0.839 0.404

---

Entry 6:
A relaxed Cs12KAg6 crystal. Source: Alexandria via LeMat-Bulk, functional GGA-PBE.

Summary:
formation energy	0.0222	eV per atom
crystal system	cubic
density of states at the Fermi level	12.3	states/eV/cell

Lattice parameters (Å, degrees): 11.912 11.912 11.912 109.47 109.47 109.47
Atoms (fractional coordinates):
Cs1 0.139 0.322 0.818
Cs2 0.182 0.504 0.322
Cs3 0.182 0.861 0.678
Cs4 0.322 0.182 0.504
Cs5 0.322 0.818 0.139
Cs6 0.496 0.678 0.818
Cs7 0.504 0.322 0.182
Cs8 0.678 0.182 0.861
Cs9 0.678 0.818 0.496
Cs10 0.818 0.139 0.322
Cs11 0.818 0.496 0.678
Cs12 0.861 0.678 0.182
K1 0.000 0.000 0.000
Ag1 0.105 0.500 0.605
Ag2 0.395 0.895 0.500
Ag3 0.500 0.395 0.895
Ag4 0.500 0.605 0.105
Ag5 0.605 0.105 0.500
Ag6 0.895 0.500 0.395